Here is RbPm2MnSe4 after structural relaxation from the Alexandria database. Energies are from PBE.

a = 7.6591 Å, b = 7.6591 Å, c = 14.7636 Å
α = 90.00°, β = 90.00°, γ = 147.99°
With the nearest neighbours (Å) after each atom.
Element x y z (fractional)
Rb1 0.1058 0.8942 0.7500  6 Se 3.38-3.51
Rb2 0.8942 0.1058 0.2500  6 Se 3.38-3.51
Pm1 0.3681 0.6319 0.5585  6 Se 2.95-3.00
Pm2 0.3681 0.6319 0.9415  6 Se 2.95-3.00
Pm3 0.6319 0.3681 0.0585  6 Se 2.95-3.00
Pm4 0.6319 0.3681 0.4415  6 Se 2.95-3.00
Mn1 0.1682 0.8318 0.2500  4 Se 2.48-2.53
Mn2 0.8318 0.1682 0.7500  4 Se 2.48-2.53
Se1 0.0000 0.0000 0.0000  4 Pm 3.00
Se2 0.0000 0.0000 0.5000  4 Pm 3.00
Se3 0.2639 0.7361 0.1119  1 Mn 2.48
Se4 0.2639 0.7361 0.3881  1 Mn 2.48
Se5 0.4269 0.5731 0.7500  2 Mn 2.53
Se6 0.5731 0.4269 0.2500  2 Mn 2.53
Se7 0.7361 0.2639 0.6119  1 Mn 2.48
Se8 0.7361 0.2639 0.8881  1 Mn 2.48

Here is Ce7MnI12 after structural relaxation from the Alexandria database. Energies are from PBE.

a = 9.9556 Å, b = 9.9556 Å, c = 9.9556 Å
α = 107.48°, β = 107.48°, γ = 107.48°
With the nearest neighbours (Å) after each atom.
Element x y z (fractional)
Ce1 0.0000 0.0000 0.0000  6 I 3.20
Ce2 0.2002 0.3978 0.4689  1 Mn 2.73
Ce3 0.3978 0.4689 0.2002  1 Mn 2.73
Ce4 0.4689 0.2002 0.3978  1 Mn 2.73
Ce5 0.5311 0.7998 0.6022  1 Mn 2.73
Ce6 0.6022 0.5311 0.7998  1 Mn 2.73
Ce7 0.7998 0.6022 0.5311  1 Mn 2.73
Mn1 0.5000 0.5000 0.5000  6 Ce 2.73
I1 0.0293 0.3485 0.1124  3 Ce 3.20-3.25
I2 0.1124 0.0293 0.3485  3 Ce 3.20-3.25
I3 0.1824 0.7267 0.5752  3 Ce 3.20-3.47
I4 0.2733 0.4248 0.8176  3 Ce 3.20-3.47
I5 0.3485 0.1124 0.0293  3 Ce 3.20-3.25
I6 0.4248 0.8176 0.2733  3 Ce 3.20-3.47
I7 0.5752 0.1824 0.7267  3 Ce 3.20-3.47
I8 0.6515 0.8876 0.9707  3 Ce 3.20-3.25
I9 0.7267 0.5752 0.1824  3 Ce 3.20-3.47
I10 0.8176 0.2733 0.4248  3 Ce 3.20-3.47
I11 0.8876 0.9707 0.6515  3 Ce 3.20-3.25
I12 0.9707 0.6515 0.8876  3 Ce 3.20-3.25

Here is Pm3HoS6 after structural relaxation from the Alexandria database. Energies are from PBE.

a = 6.7401 Å, b = 7.3524 Å, c = 12.1432 Å
α = 90.00°, β = 122.95°, γ = 90.00°
With the nearest neighbours (Å) after each atom.
Element x y z (fractional)
Pm1 0.0000 0.0000 0.0000  6 S 2.74-2.83
Pm2 0.0000 0.5000 0.5000  6 S 2.74-2.83
Pm3 0.2926 0.0927 0.7519  6 S 2.83-3.03
Pm4 0.2926 0.4073 0.2519  6 S 2.83-3.03
Pm5 0.7074 0.5927 0.7481  6 S 2.83-3.03
Pm6 0.7074 0.9073 0.2481  6 S 2.83-3.03
Ho1 0.5000 0.0000 0.5000  6 S 2.65-2.76
Ho2 0.5000 0.5000 0.0000  6 S 2.65-2.76
S1 0.0987 0.0645 0.2551  1 Ho 2.76, 3 Pm 2.83-2.85
S2 0.0987 0.4355 0.7551  1 Ho 2.76, 3 Pm 2.83-2.85
S3 0.2657 0.6840 0.0823  1 Ho 2.65, 2 Pm 2.77-2.83
S4 0.2657 0.8160 0.5823  1 Ho 2.65, 2 Pm 2.77-2.83
S5 0.4074 0.1895 0.0812  1 Ho 2.69, 2 Pm 2.74-2.84
S6 0.4074 0.3105 0.5812  1 Ho 2.69, 2 Pm 2.74-2.84
S7 0.5926 0.6895 0.4188  1 Ho 2.69, 2 Pm 2.74-2.84
S8 0.5926 0.8105 0.9188  1 Ho 2.69, 2 Pm 2.74-2.84
S9 0.7343 0.1840 0.4177  1 Ho 2.65, 2 Pm 2.77-2.83
S10 0.7343 0.3160 0.9177  1 Ho 2.65, 2 Pm 2.77-2.83
S11 0.9013 0.5645 0.2449  1 Ho 2.76, 3 Pm 2.83-2.85
S12 0.9013 0.9355 0.7449  1 Ho 2.76, 3 Pm 2.83-2.85

ΔE to the lowest computed polymorph in eV/f.u.: 0.39

Here is Er6Sb2Te3As after structural relaxation from the Alexandria database. Energies are from PBE.

a = 9.6545 Å, b = 9.6545 Å, c = 8.6308 Å
α = 103.32°, β = 103.32°, γ = 25.59°
With the nearest neighbours (Å) after each atom.
Element x y z (fractional)
Er1 0.0011 0.0011 0.2230  2 As 2.87, 1 Sb 3.04, 3 Te 3.14-3.21
Er2 0.3330 0.3330 0.4241  3 Sb 3.00-3.04, 3 Te 3.06-3.09
Er3 0.3465 0.3465 0.9185  1 As 2.81, 2 Sb 3.01, 2 Te 3.08
Er4 0.6535 0.6535 0.0815  1 As 2.81, 2 Sb 3.01, 2 Te 3.08
Er5 0.6670 0.6670 0.5759  3 Sb 3.00-3.04, 3 Te 3.06-3.09
Er6 0.9989 0.9989 0.7770  2 As 2.87, 1 Sb 3.04, 3 Te 3.14-3.21
Sb1 0.1668 0.1668 0.3318  6 Er 3.00-3.04
Sb2 0.8332 0.8332 0.6682  6 Er 3.00-3.04
Te1 0.1698 0.1698 0.8351  6 Er 3.08-3.23
Te2 0.5000 0.5000 0.5000  6 Er 3.06-3.21
Te3 0.8302 0.8302 0.1649  6 Er 3.08-3.23
As1 0.5000 0.5000 0.0000  6 Er 2.81-2.87

| no. | E_form (uncorrected) (eV per formula unit) |
| --- | --- |
| 1 | -11.7 |
| 2 | -22.0 |
| 3 | -20.2 |
| 4 | -15.4 |